No. 1
A geometry-optimized Rb2Na3 structure. Source: the Alexandria database, functional GGA-PBE.

extended XYZ file:
```
5
Lattice="-0.855 -1.412 -5.939 7.062 1.943 -1.479 -1.241 -6.157 4.860" Properties=species:S:1:pos:R:3 pbc="T T T"
Na 4.817 0.737 -4.068
Na 0.000 0.000 0.000
Na 1.391 -0.206 -3.350
Rb 4.276 -1.390 -0.287
Rb 0.690 -4.236 -2.270
```

Values from the calculation:
* formation energy from the elements: 0.03 eV/atom
* crystal system: monoclinic
* energy above the most stable polymorph in this dataset: 0.000 eV/atom



No. 2
A geometry-optimized LaZrSc2Tc structure. Source: the Alexandria database, functional GGA-PBE.

extended XYZ file:
```
5
Lattice="5.139 0.000 0.000 0.000 5.139 0.000 0.000 0.000 5.085" Properties=species:S:1:pos:R:3 pbc="T T T"
Sc 2.570 0.000 0.000
La 2.570 2.570 2.543
Sc 0.000 2.570 0.000
Zr 0.000 0.000 2.543
Tc 0.000 0.000 0.000
```

Values from the calculation:
* formation energy from the elements: 0.05 eV/atom
* crystal system: tetragonal



Number 1: magnetization 0.0 Bohr magnetons per cell, total energy -1.152 eV per atom. Number 2: magnetization 0.0 Bohr magnetons per cell, total energy -7.246 eV per atom.